! Tb8Pm3Sc3 | the Alexandria database | PBE | optimized geometry; values from VASP
&SYSTEM
  ibrav = 0, nat = 14, ntyp = 3
/
ATOMIC_SPECIES
Tb 158.93 Tb.upf
Pm 145.00 Pm.upf
Sc 44.96 Sc.upf
CELL_PARAMETERS angstrom
6.156 -6.405 0.000
6.156 6.405 0.000
-2.833 0.000 5.649
ATOMIC_POSITIONS crystal
Tb 0.047 0.309 0.024
Tb 0.109 0.650 0.526
Tb 0.309 0.047 0.024
Tb 0.350 0.891 0.474
Tb 0.650 0.109 0.526
Tb 0.691 0.953 0.976
Tb 0.891 0.350 0.474
Tb 0.953 0.691 0.976
Pm 0.371 0.629 0.000
Pm 0.500 0.500 0.500
Pm 0.629 0.371 0.000
Sc 0.000 0.000 0.500
Sc 0.264 0.264 0.610
Sc 0.736 0.736 0.390
! Energy of formation from the pure elements (eV/atom): 0.19
! VASP energy (eV/cell): -67.58

! TeI2BrN | the Alexandria database | PBE | optimized geometry; values from VASP
&SYSTEM
  ibrav = 0, nat = 5, ntyp = 4
/
ATOMIC_SPECIES
Te 127.60 Te.upf
I 126.90 I.upf
Br 79.90 Br.upf
N 14.01 N.upf
CELL_PARAMETERS angstrom
5.855 0.000 0.000
0.000 5.855 0.000
0.000 0.000 5.579
ATOMIC_POSITIONS crystal
Te 0.000 0.000 0.000
I 0.000 0.500 0.500
I 0.500 0.000 0.500
Br 0.000 0.000 0.500
N 0.500 0.500 0.000
! Energy above the lowest structure with this stoichiometry (eV per atom): 1.174
! VASP energy (eV/cell): -6.40
! Formation energy (no corrections) (meV/atom): 1969

! K2YAgI6 | the Alexandria database | PBE | optimized geometry; values from VASP
&SYSTEM
  ibrav = 0, nat = 20, ntyp = 4
/
ATOMIC_SPECIES
K 39.10 K.upf
Y 88.91 Y.upf
Ag 107.87 Ag.upf
I 126.90 I.upf
CELL_PARAMETERS angstrom
8.178 0.000 0.000
0.000 8.638 0.000
-8.148 0.000 11.547
ATOMIC_POSITIONS crystal
K 0.219 0.087 0.249
K 0.219 0.413 0.749
K 0.781 0.587 0.251
K 0.781 0.913 0.751
Y 0.500 0.000 0.000
Y 0.500 0.500 0.500
Ag 0.000 0.000 0.500
Ag 0.000 0.500 0.000
I 0.143 0.190 0.947
I 0.143 0.310 0.447
I 0.264 0.701 0.950
I 0.264 0.799 0.450
I 0.354 0.021 0.747
I 0.354 0.479 0.247
I 0.646 0.521 0.753
I 0.646 0.979 0.253
I 0.736 0.201 0.550
I 0.736 0.299 0.050
I 0.857 0.690 0.553
I 0.857 0.810 0.053
! Energy above the lowest structure with this stoichiometry (eV per atom): 0.000
! VASP energy (eV/cell): -65.34
! Formation energy (no corrections) (meV/atom): -1186

! Cs3NaCo2Cl8 | the Alexandria database | PBE | optimized geometry; values from VASP
&SYSTEM
  ibrav = 0, nat = 14, ntyp = 4
/
ATOMIC_SPECIES
Cs 132.91 Cs.upf
Na 22.99 Na.upf
Co 58.93 Co.upf
Cl 35.45 Cl.upf
CELL_PARAMETERS angstrom
7.453 0.000 0.000
-3.727 6.455 0.000
0.000 0.000 9.664
ATOMIC_POSITIONS crystal
Cs 0.000 0.000 0.000
Cs 0.333 0.667 0.649
Cs 0.667 0.333 0.351
Na 0.000 0.000 0.500
Co 0.333 0.667 0.229
Co 0.667 0.333 0.771
Cl 0.170 0.340 0.318
Cl 0.170 0.830 0.318
Cl 0.333 0.667 0.000
Cl 0.340 0.170 0.682
Cl 0.660 0.830 0.318
Cl 0.667 0.333 0.000
Cl 0.830 0.170 0.682
Cl 0.830 0.660 0.682
! VASP energy (eV/cell): -52.38
! Formation energy (no corrections) (meV/atom): -1394